#a
Compound: MnTlSb2
Source: the Alexandria database
Functional: PBE
Structure: relaxed

Properties
Space-group type   R3m
N(E_F)   1.55 states/eV per cell

a b c (Å): 4.0877 4.0877 7.9846
angles (deg): 75.17 75.17 60.00
Last column: magnetic moment on the atom in μB.
Sites, in units of the cell vectors:
Mn (0.6662, 0.6662, 0.0014)  3.11
Tl (0.5025, 0.5025, 0.4925)  -0.02
Sb (0.2759, 0.2759, 0.1724)  -0.10
Sb (0.0554, 0.0554, 0.8337)  -0.10

#b
Compound: MnTlSb2
Source: the Alexandria database
Functional: PBE
Structure: relaxed

Properties
Space-group type   F-43m
N(E_F)   3.50 states/eV per cell

a b c (Å): 5.2641 5.2641 5.2641
angles (deg): 60.00 60.00 60.00
Last column: magnetic moment on the atom in μB.
Sites, in units of the cell vectors:
Tl (0.7500, 0.7500, 0.7500)  0.01
Mn (0.5000, 0.5000, 0.5000)  4.14
Sb (0.0000, 0.0000, 0.0000)  0.02
Sb (0.2500, 0.2500, 0.2500)  -0.03

Relative to the most stable one, in meV per atom, the structures come out at #a 0; #b 410.

#a
Compound: MnTlSb2
Source: the Alexandria database
Functional: PBE
Structure: relaxed

Properties
Space-group type   Cmm2
N(E_F)   2.50 states/eV per cell

a b c (Å): 3.2700 3.2700 9.3172
angles (deg): 90.00 90.00 97.13
Last column: magnetic moment on the atom in μB.
Sites, in units of the cell vectors:
Mn (0.5000, 0.5000, 0.7625)  3.56
Sb (0.0000, 0.0000, 0.9451)  -0.08
Sb (0.5000, 0.5000, 0.2585)  0.01
Tl (0.0000, 0.0000, 0.5340)  0.01

#b
Compound: MnTlSb2
Source: the Alexandria database
Functional: PBE
Structure: relaxed

Properties
Space-group type   I-4m2
N(E_F)   2.24 states/eV per cell

a b c (Å): 6.0639 6.0639 6.0639
angles (deg): 137.42 137.42 61.80
Last column: magnetic moment on the atom in μB.
Sites, in units of the cell vectors:
Sb (0.2500, 0.7500, 0.5000)  -0.04
Sb (0.0000, 0.0000, 0.0000)  -0.06
Mn (0.7500, 0.2500, 0.5000)  4.02
Tl (0.5000, 0.5000, 0.0000)  -0.01

Relative to the most stable one, in meV per atom, the structures come out at #a 0; #b 72.

#a
Compound: MnTlSb3
Source: the Alexandria database
Functional: PBE
Structure: relaxed

Properties
Space-group type   Pm-3m
N(E_F)   5.46 states/eV per cell

a b c (Å): 5.0708 5.0708 5.0708
angles (deg): 90.00 90.00 90.00
Sites, in units of the cell vectors:
Sb (0.0000, 0.0000, 0.5000)
Sb (0.0000, 0.5000, 0.0000)
Sb (0.5000, 0.0000, 0.0000)
Tl (0.5000, 0.5000, 0.5000)
Mn (0.0000, 0.0000, 0.0000)

#b
Compound: MnTlSb3
Source: the Alexandria database
Functional: PBE
Structure: relaxed

Properties
Space-group type   Pm-3m
N(E_F)   9.47 states/eV per cell

a b c (Å): 5.6035 5.6035 5.6035
angles (deg): 90.00 90.00 90.00
Last column: magnetic moment on the atom in μB.
Sites, in units of the cell vectors:
Sb (0.0000, 0.5000, 0.0000)  0.05
Sb (0.5000, 0.0000, 0.0000)  0.03
Sb (0.0000, 0.0000, 0.5000)  0.04
Tl (0.0000, 0.0000, 0.0000)  0.01
Mn (0.5000, 0.5000, 0.5000)  0.46

Relative to the most stable one, in meV per atom, the structures come out at #a 0; #b 1428.

#a
Compound: MnSb2W
Source: the Alexandria database
Functional: PBE
Structure: relaxed

Properties
Space-group type   Imm2
N(E_F)   2.51 states/eV per cell

a b c (Å): 6.4369 6.4369 6.4369
angles (deg): 150.19 143.52 47.80
Last column: magnetic moment on the atom in μB.
Sites, in units of the cell vectors:
Sb (0.0418, 0.0418, 0.0000)  -0.01
Sb (0.7831, 0.2831, 0.5000)  -0.06
W (0.4408, 0.4408, 0.0000)  -0.36
Mn (0.2344, 0.7344, 0.5000)  2.81

#b
Compound: MnSb2W
Source: the Alexandria database
Functional: PBE
Structure: relaxed

Properties
Space-group type   P4mm
N(E_F)   2.64 states/eV per cell

a b c (Å): 3.1861 3.1861 8.2159
angles (deg): 90.00 90.00 90.00
Last column: magnetic moment on the atom in μB.
Sites, in units of the cell vectors:
W (0.0000, 0.0000, 0.5532)  -0.29
Mn (0.5000, 0.5000, 0.7096)  2.04
Sb (0.0000, 0.0000, 0.9162)  -0.04
Sb (0.5000, 0.5000, 0.3210)  0.01

#c
Compound: MnSb2W
Source: the Alexandria database
Functional: PBE
Structure: relaxed

Properties
Space-group type   Fm-3m
N(E_F)   3.76 states/eV per cell

a b c (Å): 4.7312 4.7312 4.7312
angles (deg): 60.00 60.00 60.00
Last column: magnetic moment on the atom in μB.
Sites, in units of the cell vectors:
W (0.5000, 0.5000, 0.5000)  0.02
Sb (0.2500, 0.2500, 0.2500)  -0.06
Sb (0.7500, 0.7500, 0.7500)  -0.06
Mn (0.0000, 0.0000, 0.0000)  3.17

#d
Compound: MnSb2W
Source: the Alexandria database
Functional: PBE
Structure: relaxed

Properties
Space-group type   F-43m
N(E_F)   2.35 states/eV per cell

a b c (Å): 4.7925 4.7925 4.7925
angles (deg): 60.00 60.00 60.00
Last column: magnetic moment on the atom in μB.
Sites, in units of the cell vectors:
Sb (0.7500, 0.7500, 0.7500)  0.00
Sb (0.0000, 0.0000, 0.0000)  0.05
Mn (0.5000, 0.5000, 0.5000)  3.25
W (0.2500, 0.2500, 0.2500)  -0.37

Relative to the most stable one, in meV per atom, the structures come out at #a 224; #b 0; #c 302; #d 576.